No. 1
# ZrAs2Br

Crystalline ZrAs2Br at its relaxed geometry (PBE, Alexandria).

Lattice parameters (Å, degrees): 5.205 5.205 3.058 90.00 90.00 90.00
Positions (direct):
Zr 0.000 0.000 0.000
As 0.000 0.500 0.500
As 0.500 0.000 0.500
Br 0.500 0.500 0.000

Computed properties:
Its raw formation energy is 0.07 eV per atom. For the excess energy over the best structure of this formula in the dataset, the calculation gives 267.4 kJ/mol of formula units. As for the volume: 20.71 Å³/atom. Its space-group type is P4/mmm.

No. 2
# TiMoN2

Crystalline TiMoN2 at its relaxed geometry (PBE, Alexandria).

Lattice parameters (Å, degrees): 5.686 5.686 5.686 29.66 29.66 29.66
Positions (direct):
Ti 0.000 0.000 0.000
Mo 0.169 0.169 0.169
N 0.415 0.415 0.415
N 0.584 0.584 0.584

Computed properties:
Its raw formation energy is -0.93 eV per atom. For the excess energy over the best structure of this formula in the dataset, the calculation gives 28.6 kJ/mol of formula units. As for the volume: 9.96 Å³/atom. Its space-group type is R3m.

No. 3
# RbSr2PtC

Crystalline RbSr2PtC at its relaxed geometry (PBE, Alexandria).

Lattice parameters (Å, degrees): 6.468 6.468 5.193 90.00 90.00 90.00
Positions (direct):
Rb 0.000 0.000 0.000
Sr 0.000 0.500 0.000
Sr 0.500 0.000 0.000
Pt 0.000 0.000 0.500
C 0.500 0.500 0.500

Computed properties:
As for the volume: 43.45 Å³/atom. For the energy of formation, the calculation gives 2051 meV per atom. Its space-group type is P4/mmm.

No. 4
# Pm2NdErTe5

Crystalline Pm2NdErTe5 at its relaxed geometry (PBE, Alexandria).

Lattice parameters (Å, degrees): 5.498 5.498 11.786 90.00 90.00 90.00
Positions (direct):
Pm 0.000 0.000 0.156
Pm 0.000 0.000 0.844
Nd 0.500 0.500 0.500
Er 0.500 0.500 0.000
Te 0.000 0.000 0.500
Te 0.000 0.500 0.000
Te 0.500 0.000 0.000
Te 0.500 0.500 0.249
Te 0.500 0.500 0.751

Computed properties:
Its raw formation energy is -0.82 eV per atom. As for the volume: 39.58 Å³/atom. Its space-group type is P4/mmm.

No. 5
# CdIn2P

Crystalline CdIn2P at its relaxed geometry (PBE, Alexandria).

Lattice parameters (Å, degrees): 6.606 6.606 6.606 146.73 142.26 51.17
Positions (direct):
Cd 0.000 0.000 0.000
In 0.310 0.810 0.500
In 0.690 0.190 0.500
P 0.500 0.500 0.000

Computed properties:
For the excess energy over the best structure of this formula in the dataset, the calculation gives 36.3 kJ/mol of formula units. As for the volume: 24.07 Å³/atom. For the energy of formation, the calculation gives 112 meV per atom. Its space-group type is Immm.

No. 6
# ScMnW2

Crystalline ScMnW2 at its relaxed geometry (PBE, Alexandria).

Lattice parameters (Å, degrees): 5.315 5.315 5.315 146.13 130.56 61.28
Positions (direct):
Sc 0.000 0.000 0.000
Mn 0.500 0.500 0.000
W 0.268 0.768 0.500
W 0.732 0.232 0.500

Computed properties:
For the excess energy over the best structure of this formula in the dataset, the calculation gives 0.0 kJ/mol of formula units. As for the volume: 15.74 Å³/atom. For the energy of formation, the calculation gives 89 meV per atom. Its space-group type is Immm.

No. 7
# Sr3NbGa

Crystalline Sr3NbGa at its relaxed geometry (PBE, Alexandria).

Lattice parameters (Å, degrees): 6.027 6.027 6.027 90.00 90.00 90.00
Positions (direct):
Sr 0.000 0.000 0.500
Sr 0.000 0.500 0.000
Sr 0.500 0.000 0.000
Nb 0.500 0.500 0.500
Ga 0.000 0.000 0.000

Computed properties:
For the excess energy over the best structure of this formula in the dataset, the calculation gives 0.0 kJ/mol of formula units. As for the volume: 43.79 Å³/atom. For the energy of formation, the calculation gives 738 meV per atom. Its space-group type is Pm-3m.

No. 8
# TbCeTcI

Crystalline TbCeTcI at its relaxed geometry (PBE, Alexandria).

Lattice parameters (Å, degrees): 4.076 4.076 8.247 104.35 104.35 59.97
Positions (direct):
Tb 0.000 0.000 0.000
Ce 0.786 0.786 0.361
Tc 0.413 0.413 0.236
I 0.234 0.234 0.703

Computed properties:
Its raw formation energy is -0.46 eV per atom. As for the volume: 28.42 Å³/atom. Its space-group type is Cm.